No. 1
Here is ZrAgPd after structural relaxation from Alexandria. Energies are from PBE.

Polymorph energy (0 for the lowest one)   0 meV per atom
Formation enthalpy at 0 K   -440 meV/atom
Uncorrected energy   -5.97 eV/atom
Total magnetic moment   0.00 μB/f.u.

Lattice parameters (Å, degrees): 5.0797 5.0797 5.0797 139.28 139.28 58.95
Last column: nearest neighbours and their distance in Å.
Positions (direct):
Zr (0.0000, 0.0000, 0.0000)  5 Pd 2.84-3.07, 5 Ag 2.87-2.94
Ag (0.6752, 0.6752, 0.0000)  5 Zr 2.87-2.94, 5 Pd 2.91-2.92
Pd (0.3466, 0.3466, 0.0000)  5 Zr 2.84-3.07, 5 Ag 2.91-2.92


No. 2
Here is Zr3Ag2Pd4 after structural relaxation from Alexandria. Energies are from PBE.

Formation enthalpy at 0 K   -481 meV/atom
Uncorrected energy   -6.27 eV/atom
Total magnetic moment   0.00 μB/f.u.

Lattice parameters (Å, degrees): 8.3036 8.3036 5.0069 97.91 97.91 73.33
Last column: nearest neighbours and their distance in Å.
Positions (direct):
Zr (0.1379, 0.8621, 0.7500)  4 Pd 2.79-2.91, 6 Ag 2.90-2.96
Zr (0.2150, 0.4544, 0.9125)  8 Pd 2.81-2.95, 2 Ag 2.93-2.97
Zr (0.4544, 0.2150, 0.4125)  8 Pd 2.81-2.95, 2 Ag 2.93-2.97
Zr (0.5456, 0.7850, 0.5875)  8 Pd 2.81-2.95, 2 Ag 2.93-2.97
Zr (0.7850, 0.5456, 0.0875)  8 Pd 2.81-2.95, 2 Ag 2.93-2.97
Zr (0.8621, 0.1379, 0.2500)  4 Pd 2.79-2.91, 6 Ag 2.90-2.96
Ag (0.0100, 0.7666, 0.2013)  4 Pd 2.88-2.90, 5 Zr 2.90-2.97, 1 Ag 2.93
Ag (0.2334, 0.9900, 0.2987)  4 Pd 2.88-2.90, 5 Zr 2.90-2.97, 1 Ag 2.93
Ag (0.7666, 0.0100, 0.7013)  4 Pd 2.88-2.90, 5 Zr 2.90-2.97, 1 Ag 2.93
Ag (0.9900, 0.2334, 0.7987)  4 Pd 2.88-2.90, 5 Zr 2.90-2.97, 1 Ag 2.93
Pd (0.0918, 0.3516, 0.3518)  2 Pd 2.84-2.92, 5 Zr 2.85-2.95, 3 Ag 2.88-2.90
Pd (0.3211, 0.5674, 0.4681)  5 Zr 2.79-2.91, 4 Pd 2.84-2.96, 1 Ag 2.90
Pd (0.3516, 0.0918, 0.8518)  2 Pd 2.84-2.92, 5 Zr 2.85-2.95, 3 Ag 2.88-2.90
Pd (0.4326, 0.6789, 0.0319)  5 Zr 2.79-2.91, 4 Pd 2.84-2.96, 1 Ag 2.90
Pd (0.5674, 0.3211, 0.9681)  5 Zr 2.79-2.91, 4 Pd 2.84-2.96, 1 Ag 2.90
Pd (0.6484, 0.9082, 0.1482)  2 Pd 2.84-2.92, 5 Zr 2.85-2.95, 3 Ag 2.88-2.90
Pd (0.6789, 0.4326, 0.5319)  5 Zr 2.79-2.91, 4 Pd 2.84-2.96, 1 Ag 2.90
Pd (0.9082, 0.6484, 0.6482)  2 Pd 2.84-2.92, 5 Zr 2.85-2.95, 3 Ag 2.88-2.90